No. 1
First-principles (PBE) data for an optimized crystal structure of Pr8DyEr4, as listed in the Alexandria database.

Properties
Crystal system: trigonal

a = 7.2769 Å, b = 7.2769 Å, c = 29.4276 Å
α = 90.00°, β = 90.00°, γ = 120.00°
Space group R-3m (No. 166, hexagonal axes)
Asymmetric unit:
Pr (0.0000, 0.0000, 0.2120)
Pr (0.0277, 0.5138, 0.7625)
Dy (0.0000, 0.0000, 0.5000)
Er (0.0000, 0.0000, 0.0000)
Er (0.0000, 0.5000, 0.0000)

---

No. 2
First-principles (PBE) data for an optimized crystal structure of Pr2DyEr5, as listed in the Alexandria database.

Properties
Crystal system: orthorhombic
Excess energy over the best structure of this formula in the dataset in kJ/mol of formula units: 0

a = 7.123 Å, b = 14.246 Å, c = 5.039 Å
α = 90.00°, β = 90.00°, γ = 90.00°
Space group Pbam (No. 55)
Asymmetric unit:
Pr (0.249, 0.125, 0.000)
Dy (0.000, 0.500, 0.500)
Er (0.000, 0.000, 0.500)
Er (0.001, 0.750, 0.500)
Er (0.249, 0.375, 0.000)

---

No. 3
First-principles (PBE) data for an optimized crystal structure of PrDy7Er4, as listed in the Alexandria database.

Properties
Crystal system: triclinic
Excess energy over the best structure of this formula in the dataset in kJ/mol of formula units: 0

a = 6.188 Å, b = 7.152 Å, c = 8.804 Å
α = 89.96°, β = 76.27°, γ = 89.92°
Space group P-1 (No. 2)
Asymmetric unit:
Pr (0.000, 0.000, 0.000)
Dy (0.000, 0.500, 0.000)
Dy (0.222, 0.000, 0.335)
Dy (0.279, 0.748, 0.664)
Dy (0.500, 0.252, 0.000)
Er (0.221, 0.500, 0.335)
Er (0.279, 0.252, 0.665)

---

No. 4
First-principles (PBE) data for an optimized crystal structure of Pr3DyEr6, as listed in the Alexandria database.

Properties
Crystal system: orthorhombic
Excess energy over the best structure of this formula in the dataset in kJ/mol of formula units: 0

a = 10.984 Å, b = 18.869 Å, c = 6.325 Å
α = 90.00°, β = 90.00°, γ = 90.00°
Space group Cmc2_1 (No. 36)
Asymmetric unit:
Pr (0.000, 0.111, 0.000)
Pr (0.176, 0.387, 0.396)
Dy (0.000, 0.304, 0.064)
Er (0.000, 0.228, 0.579)
Er (0.000, 0.460, 0.807)
Er (0.167, 0.046, 0.477)
Er (0.241, 0.210, 0.304)

---

No. 5
First-principles (PBE) data for an optimized crystal structure of Pr4DyEr4, as listed in the Alexandria database.

Properties
Crystal system: triclinic
Excess energy over the best structure of this formula in the dataset in kJ/mol of formula units: 73

a = 5.660 Å, b = 6.781 Å, c = 8.973 Å
α = 68.24°, β = 71.67°, γ = 89.98°
Space group P-1 (No. 2)
Asymmetric unit:
Pr (0.134, 0.310, 0.234)
Pr (0.280, 0.844, 0.940)
Dy (0.500, 0.000, 0.500)
Er (0.071, 0.767, 0.360)
Er (0.380, 0.425, 0.739)

---

No. 6
First-principles (PBE) data for an optimized crystal structure of Pr6Dy7Er16, as listed in the Alexandria database.

Properties
Crystal system: cubic

a = 15.769 Å, b = 15.769 Å, c = 15.769 Å
α = 90.00°, β = 90.00°, γ = 90.00°
Space group Fm-3m (No. 225)
Asymmetric unit:
Pr (0.000, 0.000, 0.230)
Dy (0.000, 0.000, 0.500)
Dy (0.000, 0.250, 0.250)
Er (0.128, 0.128, 0.372)
Er (0.151, 0.151, 0.151)

---

Formation energy
In order: 0.190; 0.025; -0.002; 0.151; 0.107; 0.239
Unit: eV per atom